Arrangement A

{"formula": "LaTlPb3", "functional": "PBE", "state": "relaxed", "mass_density_g_cm3": 8.3, "total_magnetization_mub_per_fu": 0.0, "cell": [[5.774, 0.000, 0.000], [0.000, 5.774, 0.000], [0.000, 0.000, 5.774]], "species": ["La", "Tl", "Pb", "Pb", "Pb"], "fractional_positions": [[0.000, 0.000, 0.000], [0.500, 0.500, 0.500], [0.000, 0.500, 0.500], [0.500, 0.000, 0.500], [0.500, 0.500, 0.000]]}

---

Arrangement B

{"formula": "LaTlPb3", "functional": "PBE", "state": "relaxed", "mass_density_g_cm3": 6.9, "total_magnetization_mub_per_fu": 0.0, "cell": [[6.152, 0.000, 0.000], [0.000, 6.152, 0.000], [0.000, 0.000, 6.152]], "species": ["La", "Tl", "Pb", "Pb", "Pb"], "fractional_positions": [[0.000, 0.000, 0.000], [0.500, 0.500, 0.500], [0.000, 0.000, 0.500], [0.000, 0.500, 0.000], [0.500, 0.000, 0.000]]}

---

So which one is most stable? That would be arrangement A, about 9.2 kJ/mol of atoms below the next structure.

---

Arrangement A

{"formula": "La4Tl5Pb", "functional": "PBE", "state": "relaxed", "mass_density_g_cm3": 9.4, "total_magnetization_mub_per_fu": 0.0, "cell": [[8.795, -2.700, 0.000], [8.795, 2.700, 0.000], [-2.004, 0.000, 6.614]], "species": ["La", "La", "La", "La", "Tl", "Tl", "Tl", "Tl", "Tl", "Pb"], "fractional_positions": [[0.077, 0.077, 0.330], [0.307, 0.307, 0.251], [0.693, 0.693, 0.749], [0.923, 0.923, 0.670], [0.122, 0.122, 0.902], [0.300, 0.300, 0.733], [0.500, 0.500, 0.000], [0.700, 0.700, 0.267], [0.878, 0.878, 0.098], [0.500, 0.500, 0.500]]}

---

Arrangement B

{"formula": "La4Tl5Pb", "functional": "PBE", "state": "relaxed", "mass_density_g_cm3": 8.7, "total_magnetization_mub_per_fu": 0.0, "cell": [[7.939, 0.000, 0.000], [0.000, 10.422, 0.000], [0.000, 0.000, 8.197]], "species": ["La", "La", "La", "La", "La", "La", "La", "La", "Tl", "Tl", "Tl", "Tl", "Tl", "Tl", "Tl", "Tl", "Tl", "Tl", "Pb", "Pb"], "fractional_positions": [[0.009, 0.250, 0.182], [0.250, 0.565, 0.476], [0.250, 0.935, 0.476], [0.491, 0.250, 0.182], [0.509, 0.750, 0.818], [0.750, 0.065, 0.524], [0.750, 0.435, 0.524], [0.991, 0.750, 0.818], [0.058, 0.067, 0.818], [0.058, 0.433, 0.818], [0.250, 0.750, 0.119], [0.442, 0.067, 0.818], [0.442, 0.433, 0.818], [0.558, 0.567, 0.182], [0.558, 0.933, 0.182], [0.750, 0.250, 0.881], [0.942, 0.567, 0.182], [0.942, 0.933, 0.182], [0.250, 0.250, 0.520], [0.750, 0.750, 0.480]]}

---

So which one is most stable? That would be arrangement A, about 25.1 kJ/mol of atoms below the next structure.

---

Arrangement A

{"formula": "La4Tl2Pb", "functional": "PBE", "state": "relaxed", "mass_density_g_cm3": 8.0, "total_magnetization_mub_per_fu": 0.0, "cell": [[2.788, 1.610, 9.050], [-2.788, 1.610, 9.050], [0.000, -3.220, 9.050]], "species": ["La", "La", "La", "La", "Tl", "Tl", "Pb"], "fractional_positions": [[0.121, 0.121, 0.121], [0.374, 0.374, 0.374], [0.626, 0.626, 0.626], [0.879, 0.879, 0.879], [0.254, 0.254, 0.254], [0.746, 0.746, 0.746], [0.500, 0.500, 0.500]]}

---

Arrangement B

{"formula": "La4Tl2Pb", "functional": "PBE", "state": "relaxed", "mass_density_g_cm3": 6.7, "total_magnetization_mub_per_fu": 0.0, "cell": [[-3.028, 3.028, 7.951], [3.028, -3.028, 7.951], [3.028, 3.028, -7.951]], "species": ["La", "La", "La", "La", "Tl", "Tl", "Pb"], "fractional_positions": [[0.000, 0.500, 0.500], [0.197, 0.197, 0.000], [0.500, 0.000, 0.500], [0.803, 0.803, 0.000], [0.393, 0.393, 0.000], [0.607, 0.607, 0.000], [0.000, 0.000, 0.000]]}

---

So which one is most stable? That would be arrangement A, about 23.6 kJ/mol of atoms below the next structure.

---

Arrangement A

{"formula": "LaYTlPb", "functional": "PBE", "state": "relaxed", "mass_density_g_cm3": 8.8, "total_magnetization_mub_per_fu": 0.0, "cell": [[0.000, 3.917, 3.917], [3.917, 0.000, 3.917], [3.917, 3.917, 0.000]], "species": ["La", "Y", "Tl", "Pb"], "fractional_positions": [[0.000, 0.000, 0.000], [0.500, 0.500, 0.500], [0.250, 0.250, 0.250], [0.750, 0.750, 0.750]]}

---

Arrangement B

{"formula": "LaYTlPb", "functional": "PBE", "state": "relaxed", "mass_density_g_cm3": 8.9, "total_magnetization_mub_per_fu": 0.0, "cell": [[-2.576, 2.576, 4.470], [2.576, -2.576, 4.470], [2.576, 2.576, -4.470]], "species": ["La", "Y", "Tl", "Pb"], "fractional_positions": [[0.000, 0.000, 0.000], [0.500, 0.500, 0.000], [0.750, 0.250, 0.500], [0.250, 0.750, 0.500]]}

---

So which one is most stable? That would be arrangement B, about 2.2 kJ/mol of atoms below the next structure.

---

Arrangement A

{"formula": "LaTm4Pb5", "functional": "PBE", "state": "relaxed", "mass_density_g_cm3": 10.9, "total_magnetization_mub_per_fu": 0.0, "cell": [[3.549, 0.000, 0.000], [0.000, 3.549, 0.000], [0.000, 0.000, 22.399]], "species": ["La", "Tm", "Tm", "Tm", "Tm", "Pb", "Pb", "Pb", "Pb", "Pb"], "fractional_positions": [[0.000, 0.000, 0.000], [0.000, 0.000, 0.205], [0.000, 0.000, 0.402], [0.000, 0.000, 0.598], [0.000, 0.000, 0.795], [0.500, 0.500, 0.109], [0.500, 0.500, 0.304], [0.500, 0.500, 0.500], [0.500, 0.500, 0.696], [0.500, 0.500, 0.891]]}

---

Arrangement B

{"formula": "LaTm4Pb5", "functional": "PBE", "state": "relaxed", "mass_density_g_cm3": 9.8, "total_magnetization_mub_per_fu": 0.0, "cell": [[-4.986, 4.986, 3.159], [4.986, -4.986, 3.159], [4.986, 4.986, -3.159]], "species": ["La", "Tm", "Tm", "Tm", "Tm", "Pb", "Pb", "Pb", "Pb", "Pb"], "fractional_positions": [[0.000, 0.000, 0.000], [0.209, 0.393, 0.599], [0.393, 0.795, 0.185], [0.610, 0.209, 0.815], [0.795, 0.610, 0.401], [0.098, 0.687, 0.782], [0.317, 0.098, 0.412], [0.500, 0.500, 0.000], [0.687, 0.905, 0.588], [0.905, 0.317, 0.218]]}

---

So which one is most stable? That would be arrangement A, about 11.8 kJ/mol of atoms below the next structure.

---

Arrangement A

{"formula": "LaTm2Pb3", "functional": "PBE", "state": "relaxed", "mass_density_g_cm3": 10.0, "total_magnetization_mub_per_fu": 0.0, "cell": [[4.895, 0.000, 0.000], [0.000, 10.110, 0.000], [0.000, 0.000, 7.349]], "species": ["La", "La", "Tm", "Tm", "Tm", "Tm", "Pb", "Pb", "Pb", "Pb", "Pb", "Pb"], "fractional_positions": [[0.000, 0.078, 0.000], [0.000, 0.922, 0.500], [0.000, 0.285, 0.500], [0.000, 0.715, 0.000], [0.500, 0.498, 0.245], [0.500, 0.502, 0.745], [0.000, 0.407, 0.994], [0.000, 0.593, 0.494], [0.500, 0.159, 0.288], [0.500, 0.159, 0.712], [0.500, 0.841, 0.212], [0.500, 0.841, 0.788]]}

---

Arrangement B

{"formula": "LaTm2Pb3", "functional": "PBE", "state": "relaxed", "mass_density_g_cm3": 10.3, "total_magnetization_mub_per_fu": 0.0, "cell": [[2.969, -8.325, 0.000], [2.969, 8.325, 0.000], [0.000, 0.000, 3.582]], "species": ["La", "Tm", "Tm", "Pb", "Pb", "Pb"], "fractional_positions": [[0.000, 0.000, 0.000], [0.338, 0.662, 0.000], [0.662, 0.338, 0.000], [0.178, 0.822, 0.500], [0.500, 0.500, 0.500], [0.822, 0.178, 0.500]]}

---

So which one is most stable? That would be arrangement A, about 5.5 kJ/mol of atoms below the next structure.